## Mg2ReHg (PBE)

Data for a geometry-optimized Mg2ReHg structure.

## Properties
energy of formation from the pure elements	0.3314	eV/atom
electronic total energy	-3.65	eV/atom

Geometry as CIF:
```
data_Mg2ReHg
_space_group_name_H-M_alt 'C 1 m 1'
_space_group_IT_number 8
_cell_length_a 9.922
_cell_length_b 2.873
_cell_length_c 5.160
_cell_angle_alpha 90.00
_cell_angle_beta 98.95
_cell_angle_gamma 90.00
loop_
_space_group_symop_operation_xyz
'x,y,z'
'x,-y,z'
'x+1/2,y+1/2,z'
'x+1/2,-y+1/2,z'
loop_
_atom_site_label
_atom_site_type_symbol
_atom_site_fract_x
_atom_site_fract_y
_atom_site_fract_z
_atom_site_occupancy
Mg1 Mg 0.000 0.000 0.000 1
Mg2 Mg 0.237 0.000 0.707 1
Re1 Re 0.494 0.000 0.510 1
Hg1 Hg 0.250 0.500 0.231 1
```

---

## Mg2ReHg (PBE)

Data for a geometry-optimized Mg2ReHg structure.

## Properties
energy of formation from the pure elements	0.3530	eV/atom
electronic total energy	-3.63	eV/atom

Geometry as CIF:
```
data_Mg2ReHg
_space_group_name_H-M_alt 'P 4/m m m'
_space_group_IT_number 123
_space_group_name_Hall '-P 4 2'
_cell_length_a 4.275
_cell_length_b 4.275
_cell_length_c 3.869
_cell_angle_alpha 90.00
_cell_angle_beta 90.00
_cell_angle_gamma 90.00
loop_
_atom_site_label
_atom_site_type_symbol
_atom_site_fract_x
_atom_site_fract_y
_atom_site_fract_z
_atom_site_occupancy
Mg1 Mg 0.000 0.500 0.000 1
Re1 Re 0.000 0.000 0.500 1
Hg1 Hg 0.500 0.500 0.500 1
```

---

- Which value of electronic total energy does entry 1 give?
  -3.65 eV/atom